Record 1
Er2Ge5Pd3: relaxed, PBE.

Computed properties:
DFT formation energy: -0.655 eV per atom
total DFT energy (no corrections): -5.43 eV per atom
M_tot: 0.000 μB/f.u.

```
data_Er2Ge5Pd3
_chemical_formula_sum 'Er8 Ge20 Pd12'
_space_group_name_H-M_alt 'I b a m'
_space_group_IT_number 72
_space_group_name_Hall '-I 2 2c'
_cell_length_a 10.354
_cell_length_b 11.831
_cell_length_c 6.121
_cell_angle_alpha 90.00
_cell_angle_beta 90.00
_cell_angle_gamma 90.00
loop_
_atom_site_label
_atom_site_fract_x
_atom_site_fract_y
_atom_site_fract_z
Er1 0.226 0.131 0.000
Ge1 0.000 0.000 0.250
Ge2 0.000 0.276 0.250
Ge3 0.158 0.396 0.000
Pd1 0.000 0.500 0.250
Pd2 0.115 0.143 0.500
```

=====

Record 2
DyErP: relaxed, PBE.

Computed properties:
DFT formation energy: -0.966 eV per atom
total DFT energy (no corrections): -5.82 eV per atom
M_tot: 0.027 μB/f.u.

```
data_DyErP
_chemical_formula_sum 'Dy1 Er1 P1'
_space_group_name_H-M_alt 'P 3 m 1'
_space_group_IT_number 156
_cell_length_a 3.8799
_cell_length_b 3.8799
_cell_length_c 6.3102
_cell_angle_alpha 90.00
_cell_angle_beta 90.00
_cell_angle_gamma 120.00
loop_
_space_group_symop_operation_xyz
'x,y,z'
'-y,x-y,z'
'-x+y,-x,z'
'-y,-x,z'
'-x+y,y,z'
'x,x-y,z'
loop_
_atom_site_label
_atom_site_fract_x
_atom_site_fract_y
_atom_site_fract_z
Dy1 0.0000 0.0000 0.0000
Er1 0.3333 0.6667 0.5004
P1 0.6667 0.3333 0.2529
```

=====

Record 3
NdEuP: relaxed, PBE.

Computed properties:
DFT formation energy: -0.878 eV per atom
total DFT energy (no corrections): -7.70 eV per atom
M_tot: 7.677 μB/f.u.

```
data_NdEuP
_chemical_formula_sum 'Nd1 Eu1 P1'
_space_group_name_H-M_alt 'P 3 m 1'
_space_group_IT_number 156
_cell_length_a 4.1057
_cell_length_b 4.1057
_cell_length_c 6.8695
_cell_angle_alpha 90.00
_cell_angle_beta 90.00
_cell_angle_gamma 120.00
loop_
_space_group_symop_operation_xyz
'x,y,z'
'-y,x-y,z'
'-x+y,-x,z'
'-y,-x,z'
'-x+y,y,z'
'x,x-y,z'
loop_
_atom_site_label
_atom_site_fract_x
_atom_site_fract_y
_atom_site_fract_z
Nd1 0.0000 0.0000 0.0000
Eu1 0.3333 0.6667 0.4783
P1 0.6667 0.3333 0.2246
```

=====

Record 4
NaNbPt2C: relaxed, PBE.

Computed properties:
DFT formation energy: 2.063 eV per atom
total DFT energy (no corrections): -4.48 eV per atom
M_tot: 0.000 μB/f.u.

```
data_NaNbPt2C
_chemical_formula_sum 'Na1 Nb1 Pt2 C1'
_space_group_name_H-M_alt 'P 4/m m m'
_space_group_IT_number 123
_space_group_name_Hall '-P 4 2'
_cell_length_a 4.635
_cell_length_b 4.635
_cell_length_c 3.990
_cell_angle_alpha 90.00
_cell_angle_beta 90.00
_cell_angle_gamma 90.00
loop_
_atom_site_label
_atom_site_fract_x
_atom_site_fract_y
_atom_site_fract_z
Na1 0.000 0.000 0.000
Nb1 0.500 0.500 0.500
Pt1 0.000 0.500 0.000
C1 0.000 0.000 0.500
```